Density functional theory data (PBE) for La2Pb after structural relaxation.

calculated volume	34.6	Å³/atom
VASP energy	-4.9981	eV/atom
M_tot	0.207	μB/atom

a = 8.9228 Å, b = 8.9228 Å, c = 4.5197 Å
α = 90.00°, β = 90.00°, γ = 120.00°
Space group P-62m (No. 189)
Asymmetric unit:
La 0.0000 0.2703 0.0000 [3 per cell]
La 0.0000 0.5916 0.5000 [3 per cell]
Pb 0.0000 0.0000 0.5000 [1 per cell]
Pb 0.3333 0.6667 0.0000 [2 per cell]

Density functional theory data (PBE) for La3Pb after structural relaxation.

calculated volume	34.9	Å³/atom
VASP energy	-4.7867	eV/atom
M_tot	0.000	μB/atom

a = 3.7559 Å, b = 3.7559 Å, c = 34.2608 Å
α = 90.00°, β = 90.00°, γ = 120.00°
Space group R-3m (No. 166, hexagonal axes)
Asymmetric unit:
La 0.0000 0.0000 0.0000 [3 per cell]
La 0.0000 0.0000 0.2467 [6 per cell]
Pb 0.0000 0.0000 0.5000 [3 per cell]

Density functional theory data (PBE) for LaPb after structural relaxation.

calculated volume	35.4	Å³/atom
VASP energy	-4.4629	eV/atom
M_tot	0.000	μB/atom

a = 12.556 Å, b = 12.556 Å, c = 3.595 Å
α = 90.00°, β = 90.00°, γ = 90.00°
Space group I4/m (No. 87)
Asymmetric unit:
La 0.125 0.659 0.000 [8 per cell]
Pb 0.075 0.164 0.000 [8 per cell]

Density functional theory data (PBE) for LaPb8 after structural relaxation.

calculated volume	31.4	Å³/atom
VASP energy	-3.9519	eV/atom
M_tot	0.000	μB/atom

a = 10.561 Å, b = 10.561 Å, c = 5.065 Å
α = 90.00°, β = 90.00°, γ = 90.00°
Space group I4/mmm (No. 139)
Asymmetric unit:
La 0.000 0.000 0.000 [2 per cell]
Pb 0.000 0.334 0.000 [8 per cell]
Pb 0.167 0.167 0.500 [8 per cell]

Density functional theory data (PBE) for La3Pb after structural relaxation.

calculated volume	33.0	Å³/atom
VASP energy	-4.8198	eV/atom
M_tot	0.000	μB/atom

a = 8.081 Å, b = 8.081 Å, c = 8.081 Å
α = 90.00°, β = 90.00°, γ = 90.00°
Space group Fm-3m (No. 225)
Asymmetric unit:
La 0.000 0.000 0.000 [4 per cell]
La 0.250 0.250 0.250 [8 per cell]
Pb 0.000 0.000 0.500 [4 per cell]

Density functional theory data (PBE) for LaPb after structural relaxation.

calculated volume	32.1	Å³/atom
VASP energy	-4.4735	eV/atom
M_tot	0.000	μB/atom

a = 8.010 Å, b = 8.010 Å, c = 8.010 Å
α = 90.00°, β = 90.00°, γ = 90.00°
Space group Fd-3m (No. 227, origin choice 2)
Asymmetric unit:
La 0.125 0.125 0.125 [8 per cell]
Pb 0.125 0.125 0.625 [8 per cell]

Density functional theory data (PBE) for La5Pb2 after structural relaxation.

calculated volume	34.1	Å³/atom
VASP energy	-4.9566	eV/atom
M_tot	0.000	μB/atom

a = 16.683 Å, b = 6.140 Å, c = 9.367 Å
α = 90.00°, β = 96.10°, γ = 90.00°
Space group C2/c (No. 15)
Asymmetric unit:
La 0.000 0.248 0.250 [4 per cell]
La 0.121 0.298 0.947 [8 per cell]
La 0.220 0.109 0.319 [8 per cell]
Pb 0.089 0.205 0.593 [8 per cell]

Density functional theory data (PBE) for La2Pb after structural relaxation.

calculated volume	34.6	Å³/atom
VASP energy	-4.8902	eV/atom
M_tot	0.000	μB/atom

a = 12.730 Å, b = 3.724 Å, c = 9.608 Å
α = 90.00°, β = 114.19°, γ = 90.00°
Space group C2/m (No. 12)
Asymmetric unit:
La 0.077 0.000 0.354 [4 per cell]
La 0.141 0.500 0.033 [4 per cell]
Pb 0.165 0.500 0.685 [4 per cell]

Density functional theory data (PBE) for La4Pb after structural relaxation.

calculated volume	46.5	Å³/atom
VASP energy	-4.4307	eV/atom
energy above the most stable polymorph in this dataset	488	meV/atom
M_tot	0.458	μB/atom

a = 6.150 Å, b = 6.150 Å, c = 6.150 Å
α = 90.00°, β = 90.00°, γ = 90.00°
Space group Pm-3m (No. 221)
Asymmetric unit:
La 0.000 0.000 0.000 [1 per cell]
La 0.000 0.500 0.500 [3 per cell]
Pb 0.500 0.500 0.500 [1 per cell]

Density functional theory data (PBE) for LaPb after structural relaxation.

calculated volume	60.0	Å³/atom
VASP energy	-4.0166	eV/atom
M_tot	0.000	μB/atom

a = 9.865 Å, b = 9.865 Å, c = 9.865 Å
α = 90.00°, β = 90.00°, γ = 90.00°
Space group I-43m (No. 217)
Asymmetric unit:
La 0.183 0.183 0.183 [8 per cell]
Pb 0.134 0.134 0.866 [8 per cell]

Density functional theory data (PBE) for La7Pb2 after structural relaxation.

calculated volume	34.5	Å³/atom
VASP energy	-4.9218	eV/atom
M_tot	0.186	μB/atom

a = 5.7249 Å, b = 5.7249 Å, c = 10.9294 Å
α = 90.00°, β = 90.00°, γ = 120.00°
Space group P-3m1 (No. 164)
Asymmetric unit:
La 0.0000 0.0000 0.0000 [1 per cell]
La 0.0000 0.0000 0.3371 [2 per cell]
La 0.3333 0.6667 0.1652 [2 per cell]
La 0.3333 0.6667 0.5209 [2 per cell]
Pb 0.3333 0.6667 0.8469 [2 per cell]

Density functional theory data (PBE) for La3Pb4 after structural relaxation.

calculated volume	33.3	Å³/atom
VASP energy	-4.8026	eV/atom
energy above the most stable polymorph in this dataset	0	meV/atom
M_tot	0.000	μB/atom

a = 4.663 Å, b = 12.163 Å, c = 16.450 Å
α = 90.00°, β = 90.00°, γ = 90.00°
Space group Cmcm (No. 63)
Asymmetric unit:
La 0.000 0.058 0.250 [4 per cell]
La 0.000 0.333 0.097 [8 per cell]
Pb 0.000 0.000 0.000 [4 per cell]
Pb 0.000 0.208 0.750 [4 per cell]
Pb 0.000 0.377 0.608 [8 per cell]